# 1
# PBE Sr2ZrSc, optimized geometry
data_Sr2ZrSc
_chemical_formula_sum 'Sr4 Zr2 Sc2'
_symmetry_space_group_name_H-M 'C 1 2/m 1'
_symmetry_Int_Tables_number 12
_cell_length_a 12.240
_cell_length_b 3.524
_cell_length_c 6.185
_cell_angle_alpha 90.00
_cell_angle_beta 99.08
_cell_angle_gamma 90.00
loop_
_symmetry_equiv_pos_as_xyz
'x,y,z'
'-x,-y,-z'
'-x,y,-z'
'x,-y,z'
'x+1/2,y+1/2,z'
'-x+1/2,-y+1/2,-z'
'-x+1/2,y+1/2,-z'
'x+1/2,-y+1/2,z'
loop_
_atom_site_label
_atom_site_fract_x
_atom_site_fract_y
_atom_site_fract_z
Sr1 0.246 0.000 0.245
Zr1 0.000 0.500 0.000
Sc1 0.000 0.000 0.500
# - excess energy over the best structure of this formula in the dataset (meV per atom) = 269
# - ΔE_f (meV/atom) = 546

=====

# 2
# PBE AlInPb2, optimized geometry
data_AlInPb2
_chemical_formula_sum 'Al1 In1 Pb2'
_symmetry_space_group_name_H-M 'P 1 2/m 1'
_symmetry_Int_Tables_number 10
_cell_length_a 3.446
_cell_length_b 4.819
_cell_length_c 6.714
_cell_angle_alpha 90.00
_cell_angle_beta 97.74
_cell_angle_gamma 90.00
loop_
_symmetry_equiv_pos_as_xyz
'x,y,z'
'-x,-y,-z'
'-x,y,-z'
'x,-y,z'
loop_
_atom_site_label
_atom_site_fract_x
_atom_site_fract_y
_atom_site_fract_z
Al1 0.000 0.000 0.000
In1 0.000 0.000 0.500
Pb1 0.442 0.500 0.237
# - excess energy over the best structure of this formula in the dataset (meV per atom) = 31
# - ΔE_f (meV/atom) = 162

=====

# 3
# PBE CoCuAu3, optimized geometry
data_CoCuAu3
_chemical_formula_sum 'Co1 Cu1 Au3'
_symmetry_space_group_name_H-M 'P m -3 m'
_symmetry_Int_Tables_number 221
_symmetry_space_group_name_Hall '-P 4 2 3'
_cell_length_a 4.759
_cell_length_b 4.759
_cell_length_c 4.759
_cell_angle_alpha 90.00
_cell_angle_beta 90.00
_cell_angle_gamma 90.00
loop_
_atom_site_label
_atom_site_fract_x
_atom_site_fract_y
_atom_site_fract_z
Co1 0.000 0.000 0.000
Cu1 0.500 0.500 0.500
Au1 0.000 0.000 0.500
# - excess energy over the best structure of this formula in the dataset (meV per atom) = 0
# - ΔE_f (meV/atom) = 946

=====

# 4
# PBE RbLiSbTe3, optimized geometry
data_RbLiSbTe3
_chemical_formula_sum 'Rb2 Li2 Sb2 Te6'
_symmetry_space_group_name_H-M 'P 1 21/m 1'
_symmetry_Int_Tables_number 11
_cell_length_a 10.122
_cell_length_b 4.665
_cell_length_c 10.468
_cell_angle_alpha 90.00
_cell_angle_beta 118.00
_cell_angle_gamma 90.00
loop_
_symmetry_equiv_pos_as_xyz
'x,y,z'
'-x,-y,-z'
'-x,y+1/2,-z'
'x,-y+1/2,z'
loop_
_atom_site_label
_atom_site_fract_x
_atom_site_fract_y
_atom_site_fract_z
Rb1 0.232 0.250 0.239
Li1 0.105 0.250 0.564
Sb1 0.320 0.750 0.836
Te1 0.106 0.250 0.830
Te2 0.195 0.750 0.500
Te3 0.480 0.750 0.165
# - DFT total energy (eV/atom) = -3.2823

=====

# 5
# PBE CsMg4Pb2, optimized geometry
data_CsMg4Pb2
_chemical_formula_sum 'Cs2 Mg8 Pb4'
_symmetry_space_group_name_H-M 'P 42/m n m'
_symmetry_Int_Tables_number 136
_symmetry_space_group_name_Hall '-P 4n 2n'
_cell_length_a 9.461
_cell_length_b 9.461
_cell_length_c 4.825
_cell_angle_alpha 90.00
_cell_angle_beta 90.00
_cell_angle_gamma 90.00
loop_
_atom_site_label
_atom_site_fract_x
_atom_site_fract_y
_atom_site_fract_z
Cs1 0.000 0.000 0.000
Mg1 0.084 0.344 0.500
Pb1 0.223 0.777 0.500
# - excess energy over the best structure of this formula in the dataset (meV per atom) = 91
# - ΔE_f (meV/atom) = -25

=====

# 6
# PBE Cd2GeO4F, optimized geometry
data_Cd2GeO4F
_chemical_formula_sum 'Cd4 Ge2 O8 F2'
_symmetry_space_group_name_H-M 'C 1 2/m 1'
_symmetry_Int_Tables_number 12
_cell_length_a 10.360
_cell_length_b 3.089
_cell_length_c 6.733
_cell_angle_alpha 90.00
_cell_angle_beta 117.81
_cell_angle_gamma 90.00
loop_
_symmetry_equiv_pos_as_xyz
'x,y,z'
'-x,-y,-z'
'-x,y,-z'
'x,-y,z'
'x+1/2,y+1/2,z'
'-x+1/2,-y+1/2,-z'
'-x+1/2,y+1/2,-z'
'x+1/2,-y+1/2,z'
loop_
_atom_site_label
_atom_site_fract_x
_atom_site_fract_y
_atom_site_fract_z
Cd1 0.186 0.000 0.191
Ge1 0.000 0.000 0.500
O1 0.105 0.500 0.445
O2 0.148 0.000 0.794
F1 0.000 0.500 0.000
# - DFT total energy (eV/atom) = -4.7034

=====

# 7
# PBE TaZn2Sn, optimized geometry
data_TaZn2Sn
_chemical_formula_sum 'Ta4 Zn8 Sn4'
_symmetry_space_group_name_H-M 'I -4 2 d'
_symmetry_Int_Tables_number 122
_symmetry_space_group_name_Hall 'I -4 2bw'
_cell_length_a 7.436
_cell_length_b 7.436
_cell_length_c 5.555
_cell_angle_alpha 90.00
_cell_angle_beta 90.00
_cell_angle_gamma 90.00
loop_
_atom_site_label
_atom_site_fract_x
_atom_site_fract_y
_atom_site_fract_z
Ta1 0.000 0.000 0.000
Zn1 0.248 0.250 0.125
Sn1 0.000 0.000 0.500
# - ΔE_f (meV/atom) = 424

=====

# 8
# PBE CsRb2Ga, optimized geometry
data_CsRb2Ga
_chemical_formula_sum 'Cs4 Rb8 Ga4'
_symmetry_space_group_name_H-M 'I -4 2 d'
_symmetry_Int_Tables_number 122
_symmetry_space_group_name_Hall 'I -4 2bw'
_cell_length_a 5.980
_cell_length_b 5.980
_cell_length_c 28.253
_cell_angle_alpha 90.00
_cell_angle_beta 90.00
_cell_angle_gamma 90.00
loop_
_atom_site_label
_atom_site_fract_x
_atom_site_fract_y
_atom_site_fract_z
Cs1 0.000 0.000 0.000
Rb1 0.215 0.250 0.625
Ga1 0.000 0.000 0.500
# - excess energy over the best structure of this formula in the dataset (meV per atom) = 0
# - ΔE_f (meV/atom) = 281

=====

# 9
# PBE TbCeAs2, optimized geometry
data_TbCeAs2
_chemical_formula_sum 'Tb3 Ce3 As6'
_symmetry_space_group_name_H-M 'R 3 m'
_symmetry_Int_Tables_number 160
_symmetry_space_group_name_Hall 'R 3 -2"'
_cell_length_a 4.1453
_cell_length_b 4.1453
_cell_length_c 21.2932
_cell_angle_alpha 90.00
_cell_angle_beta 90.00
_cell_angle_gamma 120.00
loop_
_atom_site_label
_atom_site_fract_x
_atom_site_fract_y
_atom_site_fract_z
Tb1 0.0000 0.0000 0.0000
Ce1 0.0000 0.0000 0.1727
As1 0.0000 0.0000 0.5865
As2 0.0000 0.0000 0.7534
# - excess energy over the best structure of this formula in the dataset (meV per atom) = 163
# - ΔE_f (meV/atom) = -1323

=====

# 10
# PBE Re3RhS, optimized geometry
data_Re3RhS
_chemical_formula_sum 'Re3 Rh1 S1'
_symmetry_space_group_name_H-M 'P m -3 m'
_symmetry_Int_Tables_number 221
_symmetry_space_group_name_Hall '-P 4 2 3'
_cell_length_a 4.312
_cell_length_b 4.312
_cell_length_c 4.312
_cell_angle_alpha 90.00
_cell_angle_beta 90.00
_cell_angle_gamma 90.00
loop_
_atom_site_label
_atom_site_fract_x
_atom_site_fract_y
_atom_site_fract_z
Re1 0.000 0.000 0.500
Rh1 0.500 0.500 0.500
S1 0.000 0.000 0.000
# - excess energy over the best structure of this formula in the dataset (meV per atom) = 0

=====

# 11
# PBE Rb2YGaF6, optimized geometry
data_Rb2YGaF6
_chemical_formula_sum 'Rb8 Y4 Ga4 F24'
_symmetry_space_group_name_H-M 'F m -3 m'
_symmetry_Int_Tables_number 225
_symmetry_space_group_name_Hall '-F 4 2 3'
_cell_length_a 9.387
_cell_length_b 9.387
_cell_length_c 9.387
_cell_angle_alpha 90.00
_cell_angle_beta 90.00
_cell_angle_gamma 90.00
loop_
_atom_site_label
_atom_site_fract_x
_atom_site_fract_y
_atom_site_fract_z
Rb1 0.250 0.250 0.250
Y1 0.000 0.000 0.000
Ga1 0.000 0.000 0.500
F1 0.000 0.000 0.233
# - DFT total energy (eV/atom) = -5.3071

=====

# 12
# PBE SmPuTl2S4, optimized geometry
data_SmPuTl2S4
_chemical_formula_sum 'Sm1 Pu1 Tl2 S4'
_symmetry_space_group_name_H-M 'P 1 2/m 1'
_symmetry_Int_Tables_number 10
_cell_length_a 7.125
_cell_length_b 4.111
_cell_length_c 7.845
_cell_angle_alpha 90.00
_cell_angle_beta 107.64
_cell_angle_gamma 90.00
loop_
_symmetry_equiv_pos_as_xyz
'x,y,z'
'-x,-y,-z'
'-x,y,-z'
'x,-y,z'
loop_
_atom_site_label
_atom_site_fract_x
_atom_site_fract_y
_atom_site_fract_z
Sm1 0.000 0.000 0.000
Pu1 0.500 0.500 0.000
Tl1 0.000 0.500 0.500
Tl2 0.500 0.000 0.500
S1 0.236 0.500 0.201
S2 0.272 0.000 0.803
# - DFT total energy (eV/atom) = -6.3641

=====

# 13
# PBE LiFe2SeI, optimized geometry
data_LiFe2SeI
_chemical_formula_sum 'Li1 Fe2 Se1 I1'
_symmetry_space_group_name_H-M 'P 4/m m m'
_symmetry_Int_Tables_number 123
_symmetry_space_group_name_Hall '-P 4 2'
_cell_length_a 4.448
_cell_length_b 4.448
_cell_length_c 8.471
_cell_angle_alpha 90.00
_cell_angle_beta 90.00
_cell_angle_gamma 90.00
loop_
_atom_site_label
_atom_site_fract_x
_atom_site_fract_y
_atom_site_fract_z
Li1 0.000 0.000 0.000
Fe1 0.000 0.500 0.500
Se1 0.500 0.500 0.500
I1 0.500 0.500 0.000
# - DFT total energy (eV/atom) = -4.4923

=====

# 14
# PBE Cu2MoPt, optimized geometry
data_Cu2MoPt
_chemical_formula_sum 'Cu4 Mo2 Pt2'
_symmetry_space_group_name_H-M 'I -4 m 2'
_symmetry_Int_Tables_number 119
_symmetry_space_group_name_Hall 'I -4 -2'
_cell_length_a 3.945
_cell_length_b 3.945
_cell_length_c 7.183
_cell_angle_alpha 90.00
_cell_angle_beta 90.00
_cell_angle_gamma 90.00
loop_
_atom_site_label
_atom_site_fract_x
_atom_site_fract_y
_atom_site_fract_z
Cu1 0.000 0.000 0.000
Cu2 0.000 0.500 0.250
Mo1 0.000 0.500 0.750
Pt1 0.000 0.000 0.500
# - excess energy over the best structure of this formula in the dataset (meV per atom) = 95
# - ΔE_f (meV/atom) = 36

=====

# 15
# PBE SrDyPdPt, optimized geometry
data_SrDyPdPt
_chemical_formula_sum 'Sr4 Dy4 Pd4 Pt4'
_symmetry_space_group_name_H-M 'F -4 3 m'
_symmetry_Int_Tables_number 216
_symmetry_space_group_name_Hall 'F -4 2 3'
_cell_length_a 7.158
_cell_length_b 7.158
_cell_length_c 7.158
_cell_angle_alpha 90.00
_cell_angle_beta 90.00
_cell_angle_gamma 90.00
loop_
_atom_site_label
_atom_site_fract_x
_atom_site_fract_y
_atom_site_fract_z
Sr1 0.000 0.000 0.000
Dy1 0.000 0.000 0.500
Pd1 0.250 0.250 0.750
Pt1 0.250 0.250 0.250
# - ΔE_f (meV/atom) = -803

=====

# 16
# PBE KScCo3, optimized geometry
data_KScCo3
_chemical_formula_sum 'K1 Sc1 Co3'
_symmetry_space_group_name_H-M 'P m -3 m'
_symmetry_Int_Tables_number 221
_symmetry_space_group_name_Hall '-P 4 2 3'
_cell_length_a 4.478
_cell_length_b 4.478
_cell_length_c 4.478
_cell_angle_alpha 90.00
_cell_angle_beta 90.00
_cell_angle_gamma 90.00
loop_
_atom_site_label
_atom_site_fract_x
_atom_site_fract_y
_atom_site_fract_z
K1 0.000 0.000 0.000
Sc1 0.500 0.500 0.500
Co1 0.000 0.000 0.500
# - excess energy over the best structure of this formula in the dataset (meV per atom) = 641
# - ΔE_f (meV/atom) = 1936

=====

# 17
# PBE Te3Se, optimized geometry
data_Te3Se
_chemical_formula_sum 'Te6 Se2'
_symmetry_space_group_name_H-M 'P m -3 n'
_symmetry_Int_Tables_number 223
_symmetry_space_group_name_Hall '-P 4n 2 3'
_cell_length_a 6.001
_cell_length_b 6.001
_cell_length_c 6.001
_cell_angle_alpha 90.00
_cell_angle_beta 90.00
_cell_angle_gamma 90.00
loop_
_atom_site_label
_atom_site_fract_x
_atom_site_fract_y
_atom_site_fract_z
Te1 0.000 0.250 0.500
Se1 0.000 0.000 0.000
# - DFT total energy (eV/atom) = -2.6399

=====

# 18
# PBE KTl6Au3, optimized geometry
data_KTl6Au3
_chemical_formula_sum 'K2 Tl12 Au6'
_symmetry_space_group_name_H-M 'P 1 21/m 1'
_symmetry_Int_Tables_number 11
_cell_length_a 10.422
_cell_length_b 4.876
_cell_length_c 11.262
_cell_angle_alpha 90.00
_cell_angle_beta 95.80
_cell_angle_gamma 90.00
loop_
_symmetry_equiv_pos_as_xyz
'x,y,z'
'-x,-y,-z'
'-x,y+1/2,-z'
'x,-y+1/2,z'
loop_
_atom_site_label
_atom_site_fract_x
_atom_site_fract_y
_atom_site_fract_z
K1 0.100 0.250 0.254
Tl1 0.084 0.250 0.924
Tl2 0.131 0.750 0.500
Tl3 0.271 0.750 0.791
Tl4 0.341 0.750 0.289
Tl5 0.367 0.250 0.553
Tl6 0.407 0.250 0.057
Au1 0.118 0.250 0.665
Au2 0.211 0.750 0.044
Au3 0.495 0.250 0.331
# - ΔE_f (meV/atom) = -96

=====

# 19
# PBE LaHf2Ir, optimized geometry
data_LaHf2Ir
_chemical_formula_sum 'La4 Hf8 Ir4'
_symmetry_space_group_name_H-M 'I -4 2 d'
_symmetry_Int_Tables_number 122
_symmetry_space_group_name_Hall 'I -4 2bw'
_cell_length_a 8.152
_cell_length_b 8.152
_cell_length_c 6.101
_cell_angle_alpha 90.00
_cell_angle_beta 90.00
_cell_angle_gamma 90.00
loop_
_atom_site_label
_atom_site_fract_x
_atom_site_fract_y
_atom_site_fract_z
La1 0.000 0.000 0.000
Hf1 0.179 0.750 0.625
Ir1 0.000 0.000 0.500
# - excess energy over the best structure of this formula in the dataset (meV per atom) = 3
# - ΔE_f (meV/atom) = -149

=====

# 20
# PBE YPuFeCo, optimized geometry
data_YPuFeCo
_chemical_formula_sum 'Y4 Pu4 Fe4 Co4'
_symmetry_space_group_name_H-M 'F -4 3 m'
_symmetry_Int_Tables_number 216
_symmetry_space_group_name_Hall 'F -4 2 3'
_cell_length_a 6.682
_cell_length_b 6.682
_cell_length_c 6.682
_cell_angle_alpha 90.00
_cell_angle_beta 90.00
_cell_angle_gamma 90.00
loop_
_atom_site_label
_atom_site_fract_x
_atom_site_fract_y
_atom_site_fract_z
Y1 0.000 0.000 0.000
Pu1 0.000 0.000 0.500
Fe1 0.250 0.250 0.250
Co1 0.250 0.250 0.750
# - ΔE_f (meV/atom) = 47